The following is a DFT calculation (PBE-GGA) of crystalline InSbTeAu at its relaxed geometry.

Properties
Calculated density ... 6.8 g cm⁻³
Volume ... 274.5 Å³ per cell
E ... -13.6 eV per formula unit
Magnetization ... 0.00 μB/f.u.
Formation energy (no corrections) ... -0.3 eV/f.u.

The structure in CIF format:
```
data_InSbTeAu
_symmetry_space_group_name_H-M 'C 1 m 1'
_symmetry_Int_Tables_number 8
_cell_length_a 7.7789
_cell_length_b 4.4975
_cell_length_c 8.2657
_cell_angle_alpha 90.00
_cell_angle_beta 108.33
_cell_angle_gamma 90.00
loop_
_symmetry_equiv_pos_as_xyz
'x,y,z'
'x,-y,z'
'x+1/2,y+1/2,z'
'x+1/2,-y+1/2,z'
loop_
_atom_site_label
_atom_site_fract_x
_atom_site_fract_y
_atom_site_fract_z
In1 0.0000 0.0000 0.0000
Sb1 0.0196 0.5000 0.5667
Te1 0.3991 0.0000 0.1961
Au1 0.3811 0.5000 0.6503
```

The following is a DFT calculation (PBE-GGA) of crystalline LiMg2Ta at its relaxed geometry.

Properties
Calculated density ... 5.2 g cm⁻³
Energy relative to the elements ... 0.75 eV per atom
E above lowest polymorph ... 2.446 eV/f.u.
Volume ... 304.5 Å³ per cell
E ... -13.9 eV per formula unit
Magnetization ... 0.60 μB/f.u.

The structure in CIF format:
```
data_LiMg2Ta
_symmetry_space_group_name_H-M 'I -4 2 d'
_symmetry_Int_Tables_number 122
_symmetry_space_group_name_Hall 'I -4 2bw'
_cell_length_a 7.2812
_cell_length_b 7.2812
_cell_length_c 5.7434
_cell_angle_alpha 90.00
_cell_angle_beta 90.00
_cell_angle_gamma 90.00
loop_
_atom_site_label
_atom_site_fract_x
_atom_site_fract_y
_atom_site_fract_z
Li1 0.0000 0.0000 0.0000
Mg1 0.2144 0.2500 0.1250
Ta1 0.0000 0.0000 0.5000
```

The following is a DFT calculation (PBE-GGA) of crystalline Mn3SbPd6 at its relaxed geometry.

Properties
Calculated density ... 9.5 g cm⁻³
E above lowest polymorph ... 1.520 eV/f.u.
Volume ... 971.9 Å³ per cell
E ... -63.9 eV per formula unit
Magnetization ... 12.87 μB/f.u.
Formation energy (no corrections) ... -1.1 eV/f.u.

The structure in CIF format:
```
data_Mn3SbPd6
_symmetry_space_group_name_H-M 'R -3 m'
_symmetry_Int_Tables_number 166
_symmetry_space_group_name_Hall '-R 3 2"'
_cell_length_a 10.9528
_cell_length_b 10.9528
_cell_length_c 9.3554
_cell_angle_alpha 90.00
_cell_angle_beta 90.00
_cell_angle_gamma 120.00
loop_
_atom_site_label
_atom_site_fract_x
_atom_site_fract_y
_atom_site_fract_z
Mn1 0.0915 0.1831 0.2506
Sb1 0.0000 0.0000 0.0000
Sb2 0.0000 0.0000 0.5000
Pd1 0.0000 0.2597 0.5000
Pd2 0.0578 0.5289 0.6233
```

The following is a DFT calculation (PBE-GGA) of crystalline KBeOs2 at its relaxed geometry.

Properties
Calculated density ... 10.7 g cm⁻³
Energy relative to the elements ... 1.68 eV per atom
Volume ... 133.3 Å³ per cell
E ... -20.6 eV per formula unit
Magnetization ... 0.00 μB/f.u.

The structure in CIF format:
```
data_KBeOs2
_symmetry_space_group_name_H-M 'I 4/m m m'
_symmetry_Int_Tables_number 139
_symmetry_space_group_name_Hall '-I 4 2'
_cell_length_a 3.7733
_cell_length_b 3.7733
_cell_length_c 9.3633
_cell_angle_alpha 90.00
_cell_angle_beta 90.00
_cell_angle_gamma 90.00
loop_
_atom_site_label
_atom_site_fract_x
_atom_site_fract_y
_atom_site_fract_z
K1 0.0000 0.0000 0.0000
Be1 0.0000 0.0000 0.5000
Os1 0.0000 0.5000 0.2500
```